Entry 1:
A relaxed Pm3Cu9Ag2 crystal, computed with PBE.

The structure in extended XYZ format:
```
14
Lattice="-2.164 4.345 6.481 2.164 -4.345 6.481 2.164 4.345 -6.481" Properties=species:S:1:pos:R:3 pbc="T T T"
Pm 0.000 0.000 0.000
Pm 0.000 0.000 3.846
Pm 0.000 0.000 9.116
Cu 2.164 -1.262 2.278
Cu 2.164 -1.883 4.794
Cu 2.164 1.262 2.278
Cu 0.000 2.462 1.687
Cu 0.000 4.345 0.000
Cu 2.164 1.883 4.794
Cu 0.000 3.083 4.203
Cu 0.000 6.227 1.687
Cu 0.000 5.606 4.203
Ag 2.164 2.597 0.000
Ag 0.000 1.748 6.481
```

Computed properties:
Total DFT energy (no corrections) = -59.022 eV per cell
Energy of formation = -2.20 eV per formula unit
M_tot = 0.0 μB/f.u.

Entry 2:
A relaxed Pm5Cu2Ag crystal, computed with PBE.

The structure in extended XYZ format:
```
16
Lattice="-4.072 4.072 6.399 4.072 -4.072 6.399 4.072 4.072 -6.399" Properties=species:S:1:pos:R:3 pbc="T T T"
Pm 0.000 0.000 0.000
Pm 5.360 1.288 -1.833
Pm 1.288 2.784 -1.833
Pm 5.360 1.288 1.833
Pm 1.288 2.784 1.833
Pm 0.000 0.000 6.399
Pm 2.784 1.288 4.566
Pm -1.288 2.784 4.566
Pm 2.784 1.288 8.232
Pm -1.288 2.784 8.232
Cu 3.065 1.007 0.000
Cu 3.065 -1.007 6.399
Cu 1.007 5.079 0.000
Cu 1.007 3.065 6.399
Ag 0.000 0.000 3.199
Ag 0.000 0.000 9.598
```

Computed properties:
Total DFT energy (no corrections) = -71.610 eV per cell
Energy of formation = -1.01 eV per formula unit
M_tot = 0.0 μB/f.u.

Entry 3:
A relaxed PmCu2Ag crystal, computed with PBE.

The structure in extended XYZ format:
```
4
Lattice="2.236 1.291 4.491 -2.236 1.291 4.491 0.000 -2.582 4.491" Properties=species:S:1:pos:R:3 pbc="T T T"
Pm 0.000 0.000 0.000
Cu 0.000 0.000 2.873
Cu 0.000 0.000 10.599
Ag 0.000 0.000 6.736
```

Computed properties:
Total DFT energy (no corrections) = -16.329 eV per cell
Distance to the lowest polymorph of the same formula = 7 meV/atom
Energy of formation = -0.54 eV per formula unit
M_tot = 0.0 μB/f.u.

Entry 4:
A relaxed Pm2CuAg3 crystal, computed with PBE.

The structure in extended XYZ format:
```
6
Lattice="3.610 0.000 0.000 0.000 4.687 0.000 0.000 0.000 8.087" Properties=species:S:1:pos:R:3 pbc="T T T"
Pm 0.000 0.000 0.000
Pm 0.000 2.343 3.877
Cu 1.805 0.000 2.562
Ag 1.805 0.000 5.197
Ag 1.805 2.343 1.328
Ag 1.805 2.343 6.655
```

Computed properties:
Total DFT energy (no corrections) = -23.564 eV per cell
Energy of formation = -1.41 eV per formula unit
M_tot = 0.0 μB/f.u.

Entry 5:
A relaxed PmPrCuAg crystal, computed with PBE.

The structure in extended XYZ format:
```
4
Lattice="3.668 0.000 0.000 0.000 3.668 0.000 0.000 0.000 7.388" Properties=species:S:1:pos:R:3 pbc="T T T"
Pm 0.000 0.000 0.000
Pr 0.000 0.000 3.901
Cu 1.834 1.834 5.719
Ag 1.834 1.834 1.887
```

Computed properties:
Total DFT energy (no corrections) = -17.276 eV per cell
Distance to the lowest polymorph of the same formula = 0 meV/atom
Energy of formation = -0.80 eV per formula unit
M_tot = 0.0 μB/f.u.

Entry 6:
A relaxed PmPrCuAg crystal, computed with PBE.

The structure in extended XYZ format:
```
4
Lattice="0.000 3.686 3.686 3.686 0.000 3.686 3.686 3.686 0.000" Properties=species:S:1:pos:R:3 pbc="T T T"
Pm 0.000 0.000 0.000
Pr 3.686 3.686 3.686
Cu 5.529 5.529 5.529
Ag 1.843 1.843 1.843
```

Computed properties:
Total DFT energy (no corrections) = -17.177 eV per cell
Distance to the lowest polymorph of the same formula = 25 meV/atom
Energy of formation = -0.70 eV per formula unit
M_tot = 0.0 μB/f.u.